Entry 1:
# SrInPt

A relaxed structure of SrInPt (PBE-GGA, Alexandria via LeMat-Bulk).

Structure (POSCAR):
```
SrInPt
1.0
-1.8216 1.8216 5.6592
1.8216 -1.8216 5.6592
1.8216 1.8216 -5.6592
Sr In Pt
1 1 1
direct
0.0000 0.0000 0.0000
0.7125 0.7125 0.0000
0.3161 0.3161 0.0000
```

## Properties
Energy of formation from the pure elements: -54 kJ per mole of atoms
N(E_F): 1.65 states/eV per cell
Total magnetic moment: 0.00 μB per formula unit

---

Entry 2:
# Ba2BiSb

A relaxed structure of Ba2BiSb (PBE-GGA, Alexandria via LeMat-Bulk).

Structure (POSCAR):
```
Ba2BiSb
1.0
7.4697 0.0000 0.0000
0.0000 2.4312 9.2621
0.0000 -2.4312 9.2621
Ba Bi Sb
4 2 2
direct
0.0000 0.0000 0.0000
0.0000 0.2464 0.2464
0.5000 0.0458 0.0458
0.5000 0.7899 0.7899
0.2900 0.4050 0.4050
0.7100 0.4050 0.4050
0.1982 0.6348 0.6348
0.8018 0.6348 0.6348
```

## Properties
Distance to the lowest polymorph of the same formula: 0.0 kJ/mol of formula units
E_form (uncorrected): -0.865 eV/atom
N(E_F): 3.94 states/eV per cell
Total magnetic moment: 0.00 μB per formula unit